[1]
Tm3ThBi2: optimized geometry, PBE-GGA.

a = 15.6137 Å, b = 4.5829 Å, c = 11.4408 Å
α = 90.00°, β = 114.95°, γ = 90.00°
Space group C2/m (No. 12)
Unique sites:
Tm 0.0425 0.0000 0.3617
Tm 0.1205 0.5000 0.6161
Tm 0.2150 0.5000 0.3840
Th 0.1341 0.0000 0.0666
Bi 0.0019 0.5000 0.1513
Bi 0.1996 0.0000 0.8274

## Properties
Energy relative to the elements ... -413.5 meV/atom

=====

[2]
Tm5ThBi4: optimized geometry, PBE-GGA.

a = 20.1253 Å, b = 4.3500 Å, c = 7.6263 Å
α = 90.00°, β = 100.81°, γ = 90.00°
Space group C2/m (No. 12)
Unique sites:
Tm 0.0000 0.0000 0.0000
Tm 0.1886 0.5000 0.5849
Tm 0.2022 0.5000 0.1123
Th 0.0000 0.0000 0.5000
Bi 0.0680 0.5000 0.2686
Bi 0.1328 0.0000 0.8250

## Properties
Energy relative to the elements ... -452.6 meV/atom

=====

[3]
TmThBi2: optimized geometry, PBE-GGA.

a = 4.1267 Å, b = 4.1267 Å, c = 31.4692 Å
α = 90.00°, β = 90.00°, γ = 120.00°
Space group R-3m (No. 166, hexagonal axes)
Unique sites:
Tm 0.0000 0.0000 0.0000
Th 0.0000 0.0000 0.5000
Bi 0.0000 0.0000 0.0963

## Properties
Energy relative to the elements ... 79.5 meV/atom

=====

[4]
Tm2Th2Bi5: optimized geometry, PBE-GGA.

a = 16.0157 Å, b = 8.4424 Å, c = 8.4629 Å
α = 90.00°, β = 90.00°, γ = 90.00°
Space group Cmce (No. 64)
Unique sites:
Tm 0.0000 0.1489 0.1517
Th 0.1946 0.0000 0.5000
Bi 0.0000 0.0000 0.5000
Bi 0.1362 0.1562 0.8458

## Properties
Energy relative to the elements ... -555.9 meV/atom

=====

[5]
TmTh5Bi6: optimized geometry, PBE-GGA.

a = 7.9157 Å, b = 13.7188 Å, c = 7.9199 Å
α = 90.00°, β = 109.54°, γ = 90.00°
Space group C2/m (No. 12)
Unique sites:
Tm 0.0000 0.0000 0.0000
Th 0.0000 0.1718 0.5000
Th 0.0000 0.3353 0.0000
Th 0.0000 0.5000 0.5000
Bi 0.2402 0.0000 0.7501
Bi 0.2424 0.1625 0.2428

## Properties
Energy relative to the elements ... -588.5 meV/atom

=====

[6]
Tm4ThBi5: optimized geometry, PBE-GGA.

a = 14.7990 Å, b = 4.4737 Å, c = 10.9370 Å
α = 90.00°, β = 119.51°, γ = 90.00°
Space group C2/m (No. 12)
Unique sites:
Tm 0.0969 0.0000 0.3989
Tm 0.2012 0.5000 0.7943
Th 0.0000 0.5000 0.0000
Bi 0.0000 0.5000 0.5000
Bi 0.1060 0.0000 0.8974
Bi 0.2023 0.5000 0.3078

## Properties
Energy relative to the elements ... -741.4 meV/atom

=====

[7]
Tm2ThBi: optimized geometry, PBE-GGA.

a = 3.9459 Å, b = 3.9459 Å, c = 7.4706 Å
α = 90.00°, β = 90.00°, γ = 90.00°
Space group P4/mmm (No. 123)
Unique sites:
Tm 0.0000 0.0000 0.2260
Th 0.5000 0.5000 0.5000
Bi 0.5000 0.5000 0.0000

## Properties
Energy relative to the elements ... -320.8 meV/atom

=====

[8]
TmThBi2: optimized geometry, PBE-GGA.

a = 7.8051 Å, b = 7.8051 Å, c = 7.8051 Å
α = 90.00°, β = 90.00°, γ = 90.00°
Space group Fm-3m (No. 225)
Unique sites:
Tm 0.0000 0.0000 0.0000
Th 0.0000 0.0000 0.5000
Bi 0.2500 0.2500 0.2500

## Properties
Energy relative to the elements ... -497.9 meV/atom

=====

Question: Which of these has the highest energy relative to the elements?
Answer: number 3